Arrangement P

Compound: Pm4Pr3Nd
Source: Alexandria via LeMat-Bulk
Functional: PBE-GGA
Structure: optimized geometry

a = 10.4082 Å, b = 7.3547 Å, c = 7.3522 Å
α = 90.00°, β = 90.00°, γ = 90.00°
Last column: nearest neighbours and their distance in Å.
Fractional positions:
Pm  0.0000  0.0000  0.0000  2 Nd 3.68, 4 Pm 3.68, 6 Pr 3.68
Pm  0.0000  0.5000  0.5000  6 Pr 3.68, 2 Nd 3.68, 4 Pm 3.68
Pm  0.2500  0.2495  0.2500  6 Pr 3.67-3.68, 4 Pm 3.68, 2 Nd 3.68
Pm  0.2500  0.7505  0.7500  6 Pr 3.67-3.68, 2 Nd 3.68, 4 Pm 3.68
Pm  0.5000  0.0000  0.5000  2 Nd 3.68, 4 Pm 3.68, 6 Pr 3.68
Pm  0.5000  0.5000  0.0000  6 Pr 3.68, 2 Nd 3.68, 4 Pm 3.68
Pm  0.7500  0.2495  0.2500  6 Pr 3.67-3.68, 2 Nd 3.68, 4 Pm 3.68
Pm  0.7500  0.7505  0.7500  6 Pr 3.67-3.68, 2 Nd 3.68, 4 Pm 3.68
Pr  0.0000  0.5000  0.0000  8 Pm 3.68, 4 Pr 3.68
Pr  0.2500  0.2495  0.7500  8 Pm 3.67-3.68, 2 Nd 3.68, 2 Pr 3.68
Pr  0.2500  0.7505  0.2500  8 Pm 3.67-3.68, 2 Nd 3.68, 2 Pr 3.68
Pr  0.5000  0.5000  0.5000  8 Pm 3.68, 4 Pr 3.68
Pr  0.7500  0.2495  0.7500  8 Pm 3.67-3.68, 2 Nd 3.68, 2 Pr 3.68
Pr  0.7500  0.7505  0.2500  8 Pm 3.67-3.68, 2 Nd 3.68, 2 Pr 3.68
Nd  0.0000  0.0000  0.5000  8 Pm 3.68, 4 Pr 3.68
Nd  0.5000  0.0000  0.0000  8 Pm 3.68, 4 Pr 3.68

Results
SG ... Pmna (53)
DOS at the Fermi energy ... 13.37 states/eV/f.u.
Volume ... 35.18 A^3/atom
Crystal system ... orthorhombic

Arrangement Q

Compound: Pm4Pr3Nd
Source: Alexandria via LeMat-Bulk
Functional: PBE-GGA
Structure: optimized geometry

a = 11.9411 Å, b = 7.4160 Å, c = 6.4112 Å
α = 90.00°, β = 90.00°, γ = 90.00°
Last column: nearest neighbours and their distance in Å.
Fractional positions:
Pm  0.0000  0.1232  0.9999  6 Pm 3.66-3.69, 4 Pr 3.68-3.71, 2 Nd 3.68-3.73
Pm  0.0000  0.8768  0.5000  6 Pm 3.66-3.69, 4 Pr 3.67-3.73, 2 Nd 3.70-3.71
Pm  0.2504  0.1237  0.6691  6 Pm 3.66-3.69, 1 Nd 3.67, 5 Pr 3.68-3.73
Pm  0.2496  0.8763  0.1691  6 Pm 3.66-3.69, 1 Nd 3.67, 5 Pr 3.68-3.73
Pm  0.5000  0.1232  0.0000  6 Pm 3.66-3.69, 4 Pr 3.67-3.73, 2 Nd 3.70-3.71
Pm  0.5000  0.8768  0.4999  6 Pm 3.66-3.69, 4 Pr 3.68-3.71, 2 Nd 3.68-3.73
Pm  0.7496  0.1237  0.6691  6 Pm 3.66-3.69, 1 Nd 3.67, 5 Pr 3.68-3.73
Pm  0.7504  0.8763  0.1691  6 Pm 3.66-3.69, 1 Nd 3.67, 5 Pr 3.68-3.73
Pr  0.0000  0.3737  0.5012  4 Pr 3.67-3.68, 6 Pm 3.68-3.73, 2 Nd 3.71-3.72
Pr  0.2500  0.3734  0.1673  4 Pr 3.67-3.72, 6 Pm 3.67-3.73, 2 Nd 3.67-3.68
Pr  0.2500  0.6266  0.6673  4 Pr 3.67-3.72, 6 Pm 3.67-3.73, 2 Nd 3.67-3.68
Pr  0.5000  0.6263  0.0012  4 Pr 3.67-3.68, 6 Pm 3.68-3.73, 2 Nd 3.71-3.72
Pr  0.7500  0.3734  0.1673  4 Pr 3.67-3.72, 6 Pm 3.67-3.73, 2 Nd 3.67-3.68
Pr  0.7500  0.6266  0.6673  4 Pr 3.67-3.72, 6 Pm 3.67-3.73, 2 Nd 3.67-3.68
Nd  0.0000  0.6263  0.0016  6 Pm 3.67-3.73, 6 Pr 3.67-3.72
Nd  0.5000  0.3737  0.5016  6 Pm 3.67-3.73, 6 Pr 3.67-3.72

Results
SG ... Pmn2_1 (31)
DOS at the Fermi energy ... 14.09 states/eV/f.u.
Volume ... 35.48 A^3/atom
Crystal system ... orthorhombic

It is arrangement P that is the most stable of them.

Arrangement P

Compound: Pm6PrNd2
Source: Alexandria via LeMat-Bulk
Functional: PBE-GGA
Structure: optimized geometry

a = 10.0602 Å, b = 10.0602 Å, c = 3.5609 Å
α = 90.00°, β = 90.00°, γ = 120.27°
Last column: nearest neighbours and their distance in Å.
Fractional positions:
Pm  0.1656  0.4994  0.0000  5 Pm 3.34-3.56
Pm  0.1669  0.1669  0.0000  5 Pm 3.34-3.56
Pm  0.4994  0.1656  0.0000  5 Pm 3.34-3.56
Pm  0.5006  0.8344  0.0000  5 Pm 3.34-3.56
Pm  0.8331  0.8331  0.0000  5 Pm 3.34-3.56
Pm  0.8344  0.5006  0.0000  5 Pm 3.34-3.56
Pr  0.5000  0.5000  0.5000  2 Pr 3.56, 12 Pm 3.78-3.80
Nd  0.1667  0.8333  0.5000  2 Nd 3.56, 12 Pm 3.78-3.80
Nd  0.8333  0.1667  0.5000  2 Nd 3.56, 12 Pm 3.78-3.80

Results
SG ... Cmmm (65)
DOS at the Fermi energy ... 12.96 states/eV/f.u.
Volume ... 34.58 A^3/atom
Crystal system ... orthorhombic

Arrangement Q

Compound: Pm6PrNd2
Source: Alexandria via LeMat-Bulk
Functional: PBE-GGA
Structure: optimized geometry

a = 8.2831 Å, b = 8.2831 Å, c = 10.6046 Å
α = 90.00°, β = 90.00°, γ = 90.00°
Last column: nearest neighbours and their distance in Å.
Fractional positions:
Pm  0.2370  0.2370  0.0000  1 Pr 3.08, 2 Nd 3.29
Pm  0.2377  0.2377  0.3333  2 Nd 3.07-3.30, 1 Pr 3.30
Pm  0.2377  0.2377  0.6667  2 Nd 3.07-3.30, 1 Pr 3.30
Pm  0.2623  0.7377  0.1667  2 Nd 3.07-3.30, 1 Pr 3.30
Pm  0.2623  0.7377  0.8333  2 Nd 3.07-3.30, 1 Pr 3.30
Pm  0.2630  0.7370  0.5000  1 Pr 3.08, 2 Nd 3.29
Pm  0.7370  0.2630  0.5000  1 Pr 3.08, 2 Nd 3.29
Pm  0.7377  0.2623  0.1667  2 Nd 3.07-3.30, 1 Pr 3.30
Pm  0.7377  0.2623  0.8333  2 Nd 3.07-3.30, 1 Pr 3.30
Pm  0.7623  0.7623  0.3333  2 Nd 3.07-3.30, 1 Pr 3.30
Pm  0.7623  0.7623  0.6667  2 Nd 3.07-3.30, 1 Pr 3.30
Pm  0.7630  0.7630  0.0000  1 Pr 3.08, 2 Nd 3.29
Pr  0.0000  0.0000  0.5000  6 Pm 3.08-3.30
Pr  0.5000  0.5000  0.0000  6 Pm 3.08-3.30
Nd  0.0000  0.0000  0.1669  6 Pm 3.07-3.30
Nd  0.0000  0.0000  0.8331  6 Pm 3.07-3.30
Nd  0.5000  0.5000  0.3331  6 Pm 3.07-3.30
Nd  0.5000  0.5000  0.6669  6 Pm 3.07-3.30

Results
SG ... P4_2/mnm (136)
DOS at the Fermi energy ... 13.84 states/eV/f.u.
Volume ... 40.42 A^3/atom
Crystal system ... tetragonal

It is arrangement P that is the most stable of them.

Arrangement P

Compound: Pm5PrNd
Source: Alexandria via LeMat-Bulk
Functional: PBE-GGA
Structure: optimized geometry

a = 6.9707 Å, b = 6.9707 Å, c = 12.4567 Å
α = 107.99°, β = 107.99°, γ = 60.00°
Last column: nearest neighbours and their distance in Å.
Fractional positions:
Pm  0.0873  0.9127  0.7500  2 Pm 3.05, 1 Nd 3.07
Pm  0.0884  0.3499  0.7509  2 Pm 3.05-3.35, 1 Pr 3.38
Pm  0.1536  0.6935  0.0003  4 Pm 3.35-3.70, 1 Nd 3.37
Pm  0.3065  0.8464  0.4997  4 Pm 3.35-3.70, 1 Nd 3.37
Pm  0.3499  0.0884  0.2509  2 Pm 3.05-3.35, 1 Pr 3.38
Pm  0.6501  0.9116  0.7491  2 Pm 3.05-3.35, 1 Pr 3.38
Pm  0.6935  0.1536  0.5003  4 Pm 3.35-3.70, 1 Nd 3.37
Pm  0.8464  0.3065  0.9997  4 Pm 3.35-3.70, 1 Nd 3.37
Pm  0.9116  0.6501  0.2491  2 Pm 3.05-3.35, 1 Pr 3.38
Pm  0.9127  0.0873  0.2500  2 Pm 3.05, 1 Nd 3.07
Pr  0.0000  0.5000  0.5000  4 Pm 3.38-3.66
Pr  0.5000  0.0000  0.0000  4 Pm 3.38-3.66
Nd  0.4721  0.5279  0.2500  3 Pm 3.07-3.37
Nd  0.5279  0.4721  0.7500  3 Pm 3.07-3.37

Results
SG ... C2/c (15)
DOS at the Fermi energy ... 9.88 states/eV/f.u.
Volume ... 34.98 A^3/atom
Crystal system ... monoclinic

Arrangement Q

Compound: Pm5PrNd
Source: Alexandria via LeMat-Bulk
Functional: PBE-GGA
Structure: optimized geometry

a = 7.8246 Å, b = 7.8246 Å, c = 7.8246 Å
α = 118.04°, β = 81.81°, γ = 132.25°
Last column: nearest neighbours and their distance in Å.
Fractional positions:
Pm  0.0000  0.0000  0.0000  1 Pr 2.96, 2 Pm 3.07
Pm  0.0135  0.2628  0.7507  1 Nd 2.97
Pm  0.2629  0.5835  0.3206  2 Pm 2.89-3.07, 1 Pr 3.10
Pm  0.2629  0.9423  0.6794  2 Pm 2.89-3.07, 1 Pr 3.10
Pm  0.5121  0.2628  0.2493  1 Nd 2.97
Pr  0.5333  0.5333  0.0000  3 Pm 2.96-3.10
Nd  0.7638  0.2638  0.5000  2 Pm 2.97

Results
SG ... Imm2 (44)
DOS at the Fermi energy ... 10.53 states/eV/f.u.
Volume ... 43.10 A^3/atom
Crystal system ... orthorhombic

It is arrangement P that is the most stable of them.